[1]
Density functional theory data (meta-GGA SCAN) for a crystal of YSbP2 relaxed with PBEsol.

```
YSbP2
1.0
3.9608 0.0000 0.0000
0.0000 3.9608 0.0000
0.0000 0.0000 5.7224
Y Sb P
1 1 2
direct
0.0000 0.0000 0.0000
0.5000 0.5000 0.5566
0.0000 0.0000 0.5074
0.5000 0.5000 0.0108
```

## Properties
N(E_F)	0.12	states/eV per atom
formation energy from raw total energies	-3.143	eV per formula unit
magnetization	0.0	μB per formula unit


[2]
Density functional theory data (meta-GGA SCAN) for a crystal of Zr5Ag relaxed with PBEsol.

```
Zr5Ag
1.0
5.6464 -1.5573 0.0000
5.6464 1.5573 0.0000
-1.9817 0.0000 7.2198
Zr Ag
5 1
direct
0.0000 0.0000 0.0000
0.0194 0.0194 0.6096
0.3770 0.3770 0.2647
0.6619 0.6619 0.3580
0.7141 0.7141 0.9278
0.3121 0.3121 0.6666
```

## Properties
N(E_F)	0.96	states/eV per atom
magnetization	0.0	μB per formula unit
ΔE_f	0.045	eV per formula unit